(1)
# GdDyCd3Ni2, relaxed, DFT PBE
data_GdDyCd3Ni2
_cell_length_a 3.633
_cell_length_b 10.471
_cell_length_c 10.471
_cell_angle_alpha 21.66
_cell_angle_beta 90.00
_cell_angle_gamma 90.00
_space_group_name_H-M_alt 'P 1'
_space_group_IT_number 1
loop_
_space_group_symop_operation_xyz
'x,y,z'
loop_
_atom_site_label
_atom_site_type_symbol
_atom_site_fract_x
_atom_site_fract_y
_atom_site_fract_z
Gd1 Gd 0.000 0.000 0.000
Dy1 Dy 0.000 0.655 0.655
Cd1 Cd 0.000 0.827 0.827
Cd2 Cd 0.500 0.249 0.249
Cd3 Cd 0.500 0.405 0.405
Ni1 Ni 0.500 0.114 0.114
Ni2 Ni 0.500 0.542 0.542
# **Energy of formation**: -0.37 eV/atom
# **Space-group type**: No. 38

---

(2)
# NbRe2Ge, relaxed, DFT PBE
data_NbRe2Ge
_cell_length_a 4.456
_cell_length_b 4.456
_cell_length_c 4.456
_cell_angle_alpha 60.00
_cell_angle_beta 60.00
_cell_angle_gamma 60.00
_space_group_name_H-M_alt 'P 1'
_space_group_IT_number 1
loop_
_space_group_symop_operation_xyz
'x,y,z'
loop_
_atom_site_label
_atom_site_type_symbol
_atom_site_fract_x
_atom_site_fract_y
_atom_site_fract_z
Nb1 Nb 0.000 0.000 0.000
Re1 Re 0.250 0.250 0.250
Re2 Re 0.500 0.500 0.500
Ge1 Ge 0.750 0.750 0.750
# **Space-group type**: No. 216

---

Number 1: E -25.6 eV/f.u., total magnetization 0.000 μB per atom. Number 2: E -38.6 eV/f.u., total magnetization 0.038 μB per atom.